Entry 1:
Here is crystalline Tb5Nd2Ho3 at its relaxed geometry from the Alexandria database. Energies are from PBE.

Lattice parameters (Å, degrees): 9.3878 21.7105 6.8100 90.00 90.00 90.00
With the nearest neighbours (Å) after each atom.
Space group Ibam (No. 72)
Asymmetric unit:
1 Tb 0.0000 0.0000 0.2500 [4 per cell]  6 Tb 3.31-3.41
2 Tb 0.0000 0.2494 0.2500 [8 per cell]  4 Tb 3.30-3.41, 2 Nd 3.36
3 Tb 0.0902 0.1250 0.0000 [8 per cell]  1 Nd 2.89, 1 Ho 3.20
4 Nd 0.1021 0.3755 0.5000 [8 per cell]  1 Tb 2.89
5 Ho 0.0000 0.5000 0.2500 [4 per cell]  4 Nd 3.34, 2 Ho 3.41
6 Ho 0.2502 0.1241 0.5000 [8 per cell]  1 Tb 3.20, 1 Nd 3.30

Energy relative to the elements ... 0.402 eV/atom
Energy above the most stable polymorph in this dataset ... 2.07 eV per formula unit

***

Entry 2:
Here is crystalline Tl15Hg4Pb at its relaxed geometry from the Alexandria database. Energies are from PBE.

Lattice parameters (Å, degrees): 4.9225 4.9225 24.5487 90.00 90.00 90.00
With the nearest neighbours (Å) after each atom.
Space group P4/mmm (No. 123)
Asymmetric unit:
1 Tl 0.0000 0.0000 0.0000 [1 per cell]  4 Pb 3.48, 8 Tl 3.51
2 Tl 0.0000 0.0000 0.2023 [2 per cell]  8 Tl 3.46-3.48, 4 Hg 3.48
3 Tl 0.0000 0.0000 0.4005 [2 per cell]  8 Tl 3.46-3.47, 4 Hg 3.48
4 Tl 0.0000 0.5000 0.1019 [4 per cell]  8 Tl 3.48-3.51, 2 Hg 3.50, 2 Pb 3.51
5 Tl 0.0000 0.5000 0.3013 [4 per cell]  4 Hg 3.44, 8 Tl 3.46-3.48
6 Tl 0.0000 0.5000 0.5000 [2 per cell]  8 Tl 3.47-3.48, 4 Hg 3.49
7 Hg 0.5000 0.5000 0.2033 [2 per cell]  12 Tl 3.44-3.50
8 Hg 0.5000 0.5000 0.3994 [2 per cell]  12 Tl 3.44-3.49
9 Pb 0.5000 0.5000 0.0000 [1 per cell]  12 Tl 3.48-3.51

Energy relative to the elements ... 0.020 eV/atom

***

Entry 3:
Here is crystalline Mn3RuS at its relaxed geometry from the Alexandria database. Energies are from PBE.

Lattice parameters (Å, degrees): 4.7306 4.7306 4.7306 90.00 90.00 90.00
With the nearest neighbours (Å) after each atom.
Space group Pm-3m (No. 221)
Asymmetric unit:
1 Mn 0.0000 0.0000 0.5000 [3 per cell]  2 Ru 2.37
2 Ru 0.0000 0.0000 0.0000 [1 per cell]  6 Mn 2.37
3 S 0.5000 0.5000 0.5000 [1 per cell]  12 Mn 3.35

Formation energy (no corrections) ... 1.13 eV per atom
Energy above the most stable polymorph in this dataset ... 2.59 eV per formula unit